--- 1 ---
The following is a PBE-GGA calculation of crystalline LiCu2Re at its relaxed geometry, from Alexandria.

a = 4.1569 Å, b = 4.1569 Å, c = 4.1569 Å
α = 60.00°, β = 60.00°, γ = 60.00°
Positions (direct):
Li 0.0000 0.0000 0.0000
Cu 0.5000 0.5000 0.5000
Cu 0.7500 0.7500 0.7500
Re 0.2500 0.2500 0.2500

Calculated values
- Mass density: 10.47 g cm⁻³



--- 2 ---
The following is a PBE-GGA calculation of crystalline LiCu2Re at its relaxed geometry, from Alexandria.

a = 2.4964 Å, b = 4.0944 Å, c = 5.1925 Å
α = 90.00°, β = 90.00°, γ = 90.00°
Positions (direct):
Li 0.0000 0.0000 0.0000
Cu 0.0000 0.0000 0.5023
Cu 0.5000 0.5000 0.7914
Re 0.5000 0.5000 0.2936

Calculated values
- Mass density: 10.02 g cm⁻³



--- 3 ---
The following is a PBE-GGA calculation of crystalline LiCu2Re at its relaxed geometry, from Alexandria.

a = 5.1239 Å, b = 5.1239 Å, c = 5.1239 Å
α = 151.04°, β = 128.38°, γ = 60.28°
Positions (direct):
Li 0.0000 0.0000 0.0000
Cu 0.2398 0.7398 0.5000
Cu 0.7602 0.2602 0.5000
Re 0.5000 0.5000 0.0000

Calculated values
- Mass density: 10.50 g cm⁻³



Energies relative to the minimum, eV/atom: 1 0.273; 2 0.000; 3 0.107



--- 1 ---
The following is a PBE-GGA calculation of crystalline LiCu2Re at its relaxed geometry, from Alexandria.

a = 2.5564 Å, b = 2.5564 Å, c = 8.5084 Å
α = 90.00°, β = 90.00°, γ = 105.45°
Positions (direct):
Li 0.0000 0.0000 0.0000
Cu 0.0000 0.0000 0.5173
Cu 0.5000 0.5000 0.7488
Re 0.5000 0.5000 0.2650

Calculated values
- Mass density: 9.92 g cm⁻³



--- 2 ---
The following is a PBE-GGA calculation of crystalline LiCu2Re at its relaxed geometry, from Alexandria.

a = 4.5952 Å, b = 4.5952 Å, c = 2.5295 Å
α = 90.00°, β = 90.00°, γ = 90.00°
Positions (direct):
Li 0.0000 0.0000 0.0000
Cu 0.0000 0.5000 0.5000
Cu 0.5000 0.0000 0.5000
Re 0.5000 0.5000 0.0000

Calculated values
- Mass density: 9.96 g cm⁻³



--- 3 ---
The following is a PBE-GGA calculation of crystalline LiCu2Re at its relaxed geometry, from Alexandria.

a = 2.5693 Å, b = 2.5693 Å, c = 7.9762 Å
α = 90.00°, β = 90.00°, γ = 90.00°
Positions (direct):
Li 0.0000 0.0000 0.0000
Cu 0.0000 0.0000 0.5260
Cu 0.5000 0.5000 0.7518
Re 0.5000 0.5000 0.2701

Calculated values
- Mass density: 10.10 g cm⁻³



--- 4 ---
The following is a PBE-GGA calculation of crystalline LiCu2Re at its relaxed geometry, from Alexandria.

a = 8.9390 Å, b = 8.9390 Å, c = 8.9390 Å
α = 17.22°, β = 17.22°, γ = 17.22°
Positions (direct):
Li 0.0000 0.0000 0.0000
Cu 0.2499 0.2499 0.2499
Cu 0.7501 0.7501 0.7501
Re 0.5000 0.5000 0.5000

Calculated values
- Mass density: 9.74 g cm⁻³



Energies relative to the minimum, eV/atom: 1 0.027; 2 0.000; 3 0.014; 4 0.043